Record 1
Here is a relaxed structure of RbTbW2O8 from Alexandria. Energies are from PBE with a Hubbard U. Values from VASP.

Structure (Quantum ESPRESSO input):
```
&SYSTEM
  ibrav = 0, nat = 24, ntyp = 4
/
ATOMIC_SPECIES
O 16.00 O.upf
W 183.84 W.upf
Tb 158.93 Tb.upf
Rb 85.47 Rb.upf
ATOMIC_POSITIONS crystal
O 0.6260 0.4064 0.5362
O 0.3740 0.5936 0.4638
O 0.9428 0.6382 0.6240
O 0.7699 0.9551 0.6974
O 0.7501 0.6241 0.0602
O 0.0449 0.2301 0.8026
O 0.3618 0.0572 0.8760
O 0.6241 0.7501 0.5602
O 0.2499 0.3759 0.9398
O 0.9551 0.7699 0.1974
O 0.2301 0.0449 0.3026
O 0.5936 0.3740 0.9638
O 0.4064 0.6260 0.0362
O 0.3759 0.2499 0.4398
O 0.0572 0.3618 0.3760
O 0.6382 0.9428 0.1240
W 0.6994 0.6899 0.7854
W 0.3006 0.3101 0.2146
W 0.3101 0.3006 0.7146
W 0.6899 0.6994 0.2854
Tb 0.7761 0.2239 0.7500
Tb 0.2239 0.7761 0.2500
Rb 0.7956 0.2044 0.2500
Rb 0.2044 0.7956 0.7500
CELL_PARAMETERS angstrom
-2.2427 1.1237 -7.2738
4.5636 -5.6684 -2.4985
-3.2337 -5.7545 -3.5759
```

Summary:
Energy, eV per cell: -177.6


Record 2
Here is a relaxed structure of Sr3Be2VO8 from Alexandria. Energies are from PBE with a Hubbard U. Values from VASP.

Structure (Quantum ESPRESSO input):
```
&SYSTEM
  ibrav = 0, nat = 14, ntyp = 4
/
ATOMIC_SPECIES
O 16.00 O.upf
Sr 87.62 Sr.upf
Be 9.01 Be.upf
V 50.94 V.upf
ATOMIC_POSITIONS crystal
O 0.1668 0.3335 0.3366
O 0.3335 0.1668 0.6634
O 0.1668 0.8332 0.3366
O 0.6665 0.8332 0.3366
O 0.8332 0.6665 0.6634
O 0.6667 0.3333 0.9852
O 0.3333 0.6667 0.0148
O 0.8332 0.1668 0.6634
Sr 0.3333 0.6667 0.6676
Sr 0.0000 0.0000 0.0000
Sr 0.6667 0.3333 0.3324
Be 0.3333 0.6667 0.2422
Be 0.6667 0.3333 0.7578
V 0.0000 0.0000 0.5000
CELL_PARAMETERS angstrom
-5.1832 -0.3226 -1.1927
1.5891 -0.2975 5.0772
-0.5580 6.8385 0.5753
```

Summary:
Energy, eV per cell: -93.9


> The highest energy belongs to which entry?

Sr3Be2VO8


Copy entry 1 word for word.
Here is a relaxed structure of RbTbW2O8 from Alexandria. Energies are from PBE with a Hubbard U. Values from VASP.

Structure (Quantum ESPRESSO input):
```
&SYSTEM
  ibrav = 0, nat = 24, ntyp = 4
/
ATOMIC_SPECIES
O 16.00 O.upf
W 183.84 W.upf
Tb 158.93 Tb.upf
Rb 85.47 Rb.upf
ATOMIC_POSITIONS crystal
O 0.6260 0.4064 0.5362
O 0.3740 0.5936 0.4638
O 0.9428 0.6382 0.6240
O 0.7699 0.9551 0.6974
O 0.7501 0.6241 0.0602
O 0.0449 0.2301 0.8026
O 0.3618 0.0572 0.8760
O 0.6241 0.7501 0.5602
O 0.2499 0.3759 0.9398
O 0.9551 0.7699 0.1974
O 0.2301 0.0449 0.3026
O 0.5936 0.3740 0.9638
O 0.4064 0.6260 0.0362
O 0.3759 0.2499 0.4398
O 0.0572 0.3618 0.3760
O 0.6382 0.9428 0.1240
W 0.6994 0.6899 0.7854
W 0.3006 0.3101 0.2146
W 0.3101 0.3006 0.7146
W 0.6899 0.6994 0.2854
Tb 0.7761 0.2239 0.7500
Tb 0.2239 0.7761 0.2500
Rb 0.7956 0.2044 0.2500
Rb 0.2044 0.7956 0.7500
CELL_PARAMETERS angstrom
-2.2427 1.1237 -7.2738
4.5636 -5.6684 -2.4985
-3.2337 -5.7545 -3.5759
```

Summary:
Energy, eV per cell: -177.6


> energy of number 1 (RbTbW2O8)?

-177.6 eV per cell